Record 1
Here is a relaxed ScFeOs2 crystal from Alexandria via LeMat-Bulk. Energies are from PBE.

Cell lengths 9.021, 9.021, 9.021 Å; angles 17.86, 17.86, 17.86 degrees
Sites, in units of the cell vectors:
1 Sc 0.000 0.000 0.000
2 Fe 0.249 0.249 0.249
3 Os 0.505 0.505 0.505
4 Os 0.758 0.758 0.758

Distance to the lowest polymorph of the same formula in eV/f.u.: 1.09
SG: R3m, No. 160
Final energy in eV per atom: -9.044
E_form in eV per atom: 0.27

Record 2
Here is a relaxed ScFeOs crystal from Alexandria via LeMat-Bulk. Energies are from PBE.

Cell lengths 5.107, 5.107, 5.107 Å; angles 121.86, 119.30, 89.01 degrees
Sites, in units of the cell vectors:
1 Sc 0.376 0.126 0.250
2 Sc 0.624 0.874 0.750
3 Fe 0.000 0.000 0.500
4 Fe 0.000 0.500 0.000
5 Os 0.000 0.500 0.500
6 Os 0.500 0.500 0.000

Distance to the lowest polymorph of the same formula in eV/f.u.: 0.00
SG: Imma, No. 74
Final energy in eV per atom: -9.034
E_form in eV per atom: -0.36

Record 3
Here is a relaxed Sc4FeOs crystal from Alexandria via LeMat-Bulk. Energies are from PBE.

Cell lengths 3.175, 3.175, 11.699 Å; angles 90.00, 90.00, 90.00 degrees
Sites, in units of the cell vectors:
1 Sc 0.000 0.000 0.127
2 Sc 0.000 0.000 0.873
3 Sc 0.500 0.500 0.366
4 Sc 0.500 0.500 0.634
5 Fe 0.500 0.500 0.000
6 Os 0.000 0.000 0.500

Distance to the lowest polymorph of the same formula in eV/f.u.: 0.00
SG: P4/mmm, No. 123
Final energy in eV per atom: -7.762
E_form in eV per atom: -0.26

Record 4
Here is a relaxed Sc2FeOs crystal from Alexandria via LeMat-Bulk. Energies are from PBE.

Cell lengths 4.519, 4.519, 4.519 Å; angles 60.00, 60.00, 60.00 degrees
Sites, in units of the cell vectors:
1 Sc 0.000 0.000 0.000
2 Sc 0.250 0.250 0.250
3 Fe 0.500 0.500 0.500
4 Os 0.750 0.750 0.750

SG: F-43m, No. 216
Final energy in eV per atom: -8.094
E_form in eV per atom: -0.01

Record 5
Here is a relaxed ScFeOs crystal from Alexandria via LeMat-Bulk. Energies are from PBE.

Cell lengths 4.270, 4.270, 4.270 Å; angles 60.00, 60.00, 60.00 degrees
Sites, in units of the cell vectors:
1 Sc 0.000 0.000 0.000
2 Fe 0.250 0.250 0.250
3 Os 0.750 0.750 0.750

Distance to the lowest polymorph of the same formula in eV/f.u.: 4.09
SG: F-43m, No. 216
Final energy in eV per atom: -7.671
E_form in eV per atom: 1.00

Record 6
Here is a relaxed ScFeOs2 crystal from Alexandria via LeMat-Bulk. Energies are from PBE.

Cell lengths 2.791, 4.378, 4.980 Å; angles 90.00, 98.64, 90.00 degrees
Sites, in units of the cell vectors:
1 Sc 0.000 0.000 0.000
2 Fe 0.500 0.000 0.500
3 Os 0.301 0.500 0.733
4 Os 0.699 0.500 0.267

Distance to the lowest polymorph of the same formula in eV/f.u.: 0.26
SG: P2/m, No. 10
Final energy in eV per atom: -9.251
E_form in eV per atom: 0.06

Record 7
Here is a relaxed Sc2FeOs crystal from Alexandria via LeMat-Bulk. Energies are from PBE.

Cell lengths 5.315, 5.315, 5.315 Å; angles 137.78, 137.78, 61.24 degrees
Sites, in units of the cell vectors:
1 Sc 0.000 0.000 0.000
2 Sc 0.750 0.250 0.500
3 Fe 0.250 0.750 0.500
4 Os 0.500 0.500 0.000

SG: I-4m2, No. 119
Final energy in eV per atom: -8.108
E_form in eV per atom: -0.02

Record 8
Here is a relaxed Sc6Fe2Os crystal from Alexandria via LeMat-Bulk. Energies are from PBE.

Cell lengths 7.630, 7.630, 7.630 Å; angles 111.00, 109.24, 108.19 degrees
Sites, in units of the cell vectors:
1 Sc 0.031 0.208 0.823
2 Sc 0.259 0.581 0.322
3 Sc 0.259 0.937 0.678
4 Sc 0.261 0.307 0.567
5 Sc 0.261 0.693 0.954
6 Sc 0.385 0.208 0.177
7 Sc 0.615 0.792 0.823
8 Sc 0.739 0.307 0.046
9 Sc 0.739 0.693 0.433
10 Sc 0.741 0.063 0.322
11 Sc 0.741 0.419 0.678
12 Sc 0.969 0.792 0.177
13 Fe 0.000 0.132 0.132
14 Fe 0.000 0.868 0.868
15 Fe 0.380 0.000 0.380
16 Fe 0.620 0.000 0.620
17 Os 0.000 0.500 0.500
18 Os 0.500 0.500 0.000

SG: Immm, No. 71
Final energy in eV per atom: -7.531
E_form in eV per atom: -0.18

Record 9
Here is a relaxed ScFeOs crystal from Alexandria via LeMat-Bulk. Energies are from PBE.

Cell lengths 4.123, 4.123, 4.123 Å; angles 60.00, 60.00, 60.00 degrees
Sites, in units of the cell vectors:
1 Sc 0.000 0.000 0.000
2 Fe 0.250 0.250 0.250
3 Os 0.500 0.500 0.500

Distance to the lowest polymorph of the same formula in eV/f.u.: 1.83
SG: F-43m, No. 216
Final energy in eV per atom: -8.423
E_form in eV per atom: 0.25

Record 10
Here is a relaxed ScFeOs2 crystal from Alexandria via LeMat-Bulk. Energies are from PBE.

Cell lengths 5.112, 5.112, 4.505 Å; angles 110.21, 110.21, 33.22 degrees
Sites, in units of the cell vectors:
1 Sc 0.000 0.000 0.000
2 Fe 0.762 0.762 0.187
3 Os 0.234 0.234 0.644
4 Os 0.496 0.496 0.512

Distance to the lowest polymorph of the same formula in eV/f.u.: 0.05
SG: Cm, No. 8
Final energy in eV per atom: -9.304
E_form in eV per atom: 0.01

Record 11
Here is a relaxed Sc2FeOs crystal from Alexandria via LeMat-Bulk. Energies are from PBE.

Cell lengths 3.245, 3.245, 6.312 Å; angles 90.00, 90.00, 90.00 degrees
Sites, in units of the cell vectors:
1 Sc 0.000 0.000 0.247
2 Sc 0.000 0.000 0.753
3 Fe 0.500 0.500 0.500
4 Os 0.500 0.500 0.000

SG: P4/mmm, No. 123
Final energy in eV per atom: -8.290
E_form in eV per atom: -0.20

Record 12
Here is a relaxed ScFeOs2 crystal from Alexandria via LeMat-Bulk. Energies are from PBE.

Cell lengths 3.011, 4.378, 4.507 Å; angles 90.00, 90.00, 90.00 degrees
Sites, in units of the cell vectors:
1 Sc 0.000 0.000 0.000
2 Fe 0.500 0.000 0.500
3 Os 0.000 0.500 0.500
4 Os 0.500 0.500 0.000

Distance to the lowest polymorph of the same formula in eV/f.u.: 0.11
SG: Pmmm, No. 47
Final energy in eV per atom: -9.290
E_form in eV per atom: 0.02

Record 13
Here is a relaxed ScFeOs2 crystal from Alexandria via LeMat-Bulk. Energies are from PBE.

Cell lengths 5.308, 5.308, 4.448 Å; angles 111.17, 111.17, 30.83 degrees
Sites, in units of the cell vectors:
1 Sc 0.000 0.000 0.000
2 Fe 0.500 0.500 0.500
3 Os 0.219 0.219 0.719
4 Os 0.781 0.781 0.281

Distance to the lowest polymorph of the same formula in eV/f.u.: 0.15
SG: C2/m, No. 12
Final energy in eV per atom: -9.280
E_form in eV per atom: 0.03

Record 14
Here is a relaxed ScFe3Os crystal from Alexandria via LeMat-Bulk. Energies are from PBE.

Cell lengths 4.484, 4.484, 4.484 Å; angles 90.00, 90.00, 90.00 degrees
Sites, in units of the cell vectors:
1 Sc 0.000 0.000 0.000
2 Fe 0.000 0.500 0.500
3 Fe 0.500 0.000 0.500
4 Fe 0.500 0.500 0.000
5 Os 0.500 0.500 0.500

Distance to the lowest polymorph of the same formula in eV/f.u.: 0.00
SG: Pm-3m, No. 221
Final energy in eV per atom: -7.606
E_form in eV per atom: 0.98

Record 15
Here is a relaxed ScFe3Os crystal from Alexandria via LeMat-Bulk. Energies are from PBE.

Cell lengths 4.275, 4.275, 4.275 Å; angles 90.00, 90.00, 90.00 degrees
Sites, in units of the cell vectors:
1 Sc 0.000 0.000 0.000
2 Fe 0.000 0.000 0.500
3 Fe 0.000 0.500 0.000
4 Fe 0.500 0.000 0.000
5 Os 0.500 0.500 0.500

Distance to the lowest polymorph of the same formula in eV/f.u.: 3.76
SG: Pm-3m, No. 221
Final energy in eV per atom: -6.854
E_form in eV per atom: 1.74

Record 16
Here is a relaxed ScFeOs2 crystal from Alexandria via LeMat-Bulk. Energies are from PBE.

Cell lengths 4.336, 4.336, 3.138 Å; angles 90.00, 90.00, 90.00 degrees
Sites, in units of the cell vectors:
1 Sc 0.000 0.000 0.000
2 Fe 0.500 0.500 0.000
3 Os 0.000 0.500 0.500
4 Os 0.500 0.000 0.500

Distance to the lowest polymorph of the same formula in eV/f.u.: 0.00
SG: P4/mmm, No. 123
Final energy in eV per atom: -9.317
E_form in eV per atom: 0.00

Record 17
Here is a relaxed Sc2FeOs crystal from Alexandria via LeMat-Bulk. Energies are from PBE.

Cell lengths 2.889, 2.889, 8.245 Å; angles 90.00, 90.00, 90.00 degrees
Sites, in units of the cell vectors:
1 Sc 0.000 0.000 0.000
2 Sc 0.500 0.500 0.353
3 Fe 0.000 0.000 0.580
4 Os 0.500 0.500 0.756

SG: P4mm, No. 99
Final energy in eV per atom: -8.104
E_form in eV per atom: -0.02

Record 18
Here is a relaxed Sc2FeOs crystal from Alexandria via LeMat-Bulk. Energies are from PBE.

Cell lengths 8.715, 8.715, 8.715 Å; angles 20.02, 20.02, 20.02 degrees
Sites, in units of the cell vectors:
1 Sc 0.250 0.250 0.250
2 Sc 0.750 0.750 0.750
3 Fe 0.500 0.500 0.500
4 Os 0.000 0.000 0.000

SG: R-3m, No. 166
Final energy in eV per atom: -7.962
E_form in eV per atom: 0.13

Record 19
Here is a relaxed ScFe4Os crystal from Alexandria via LeMat-Bulk. Energies are from PBE.

Cell lengths 4.820, 4.820, 4.820 Å; angles 60.00, 60.00, 60.00 degrees
Sites, in units of the cell vectors:
1 Sc 0.000 0.000 0.000
2 Fe 0.128 0.624 0.624
3 Fe 0.624 0.128 0.624
4 Fe 0.624 0.624 0.128
5 Fe 0.624 0.624 0.624
6 Os 0.250 0.250 0.250

SG: F-43m, No. 216
Final energy in eV per atom: -8.631
E_form in eV per atom: -0.06

Record 20
Here is a relaxed Sc2FeOs crystal from Alexandria via LeMat-Bulk. Energies are from PBE.

Cell lengths 3.982, 5.094, 5.094 Å; angles 46.95, 90.00, 90.00 degrees
Sites, in units of the cell vectors:
1 Sc 0.000 0.000 0.000
2 Sc 0.500 0.293 0.293
3 Fe 0.000 0.704 0.704
4 Os 0.500 0.593 0.593

SG: Amm2, No. 38
Final energy in eV per atom: -8.179
E_form in eV per atom: -0.09

Record 21
Here is a relaxed ScFeOs2 crystal from Alexandria via LeMat-Bulk. Energies are from PBE.

Cell lengths 2.807, 3.874, 5.566 Å; angles 90.00, 90.00, 90.00 degrees
Sites, in units of the cell vectors:
1 Sc 0.000 0.000 0.000
2 Fe 0.500 0.500 0.255
3 Os 0.000 0.000 0.500
4 Os 0.500 0.500 0.711

Distance to the lowest polymorph of the same formula in eV/f.u.: 0.33
SG: Pmm2, No. 25
Final energy in eV per atom: -9.236
E_form in eV per atom: 0.08

Record 22
Here is a relaxed ScFeOs crystal from Alexandria via LeMat-Bulk. Energies are from PBE.

Cell lengths 4.212, 4.212, 3.147 Å; angles 90.00, 90.00, 120.00 degrees
Sites, in units of the cell vectors:
1 Sc 0.000 0.000 0.000
2 Fe 0.333 0.667 0.531
3 Os 0.667 0.333 0.473

Distance to the lowest polymorph of the same formula in eV/f.u.: 1.11
SG: P3m1, No. 156
Final energy in eV per atom: -8.665
E_form in eV per atom: 0.01

Record 23
Here is a relaxed ScFeOs2 crystal from Alexandria via LeMat-Bulk. Energies are from PBE.

Cell lengths 4.377, 4.377, 4.377 Å; angles 60.00, 60.00, 60.00 degrees
Sites, in units of the cell vectors:
1 Sc 0.000 0.000 0.000
2 Fe 0.500 0.500 0.500
3 Os 0.250 0.250 0.250
4 Os 0.750 0.750 0.750

Distance to the lowest polymorph of the same formula in eV/f.u.: 0.26
SG: Fm-3m, No. 225
Final energy in eV per atom: -9.251
E_form in eV per atom: 0.06

Record 24
Here is a relaxed ScFeOs2 crystal from Alexandria via LeMat-Bulk. Energies are from PBE.

Cell lengths 4.768, 4.768, 4.768 Å; angles 131.50, 131.50, 71.02 degrees
Sites, in units of the cell vectors:
1 Sc 0.000 0.000 0.000
2 Fe 0.500 0.500 0.000
3 Os 0.250 0.750 0.500
4 Os 0.750 0.250 0.500

Distance to the lowest polymorph of the same formula in eV/f.u.: 0.65
SG: I4/mmm, No. 139
Final energy in eV per atom: -9.154
E_form in eV per atom: 0.16

Record 25
Here is a relaxed ScFeOs2 crystal from Alexandria via LeMat-Bulk. Energies are from PBE.

Cell lengths 2.838, 2.838, 7.403 Å; angles 90.00, 90.00, 90.00 degrees
Sites, in units of the cell vectors:
1 Sc 0.000 0.000 0.000
2 Fe 0.000 0.000 0.500
3 Os 0.500 0.500 0.288
4 Os 0.500 0.500 0.712

Distance to the lowest polymorph of the same formula in eV/f.u.: 0.19
SG: P4/mmm, No. 123
Final energy in eV per atom: -9.270
E_form in eV per atom: 0.04

Record 26
Here is a relaxed Sc4FeOs crystal from Alexandria via LeMat-Bulk. Energies are from PBE.

Cell lengths 5.427, 5.427, 5.427 Å; angles 60.00, 60.00, 60.00 degrees
Sites, in units of the cell vectors:
1 Sc 0.376 0.376 0.376
2 Sc 0.376 0.376 0.873
3 Sc 0.376 0.873 0.376
4 Sc 0.873 0.376 0.376
5 Fe 0.000 0.000 0.000
6 Os 0.750 0.750 0.750

Distance to the lowest polymorph of the same formula in eV/f.u.: 5.43
SG: F-43m, No. 216
Final energy in eV per atom: -6.857
E_form in eV per atom: 0.65

Record 27
Here is a relaxed ScFeOs2 crystal from Alexandria via LeMat-Bulk. Energies are from PBE.

Cell lengths 4.702, 4.702, 4.702 Å; angles 130.16, 130.16, 73.15 degrees
Sites, in units of the cell vectors:
1 Sc 0.000 0.000 0.000
2 Fe 0.250 0.750 0.500
3 Os 0.500 0.500 0.000
4 Os 0.750 0.250 0.500

Distance to the lowest polymorph of the same formula in eV/f.u.: 0.37
SG: I-4m2, No. 119
Final energy in eV per atom: -9.225
E_form in eV per atom: 0.09

Record 28
Here is a relaxed Sc2FeOs crystal from Alexandria via LeMat-Bulk. Energies are from PBE.

Cell lengths 9.208, 9.208, 9.208 Å; angles 18.94, 18.94, 18.94 degrees
Sites, in units of the cell vectors:
1 Sc 0.000 0.000 0.000
2 Sc 0.225 0.225 0.225
3 Fe 0.745 0.745 0.745
4 Os 0.482 0.482 0.482

SG: R3m, No. 160
Final energy in eV per atom: -7.826
E_form in eV per atom: 0.26

Record 29
Here is a relaxed ScTaFe2Os crystal from Alexandria via LeMat-Bulk. Energies are from PBE.

Cell lengths 4.208, 4.208, 4.737 Å; angles 90.00, 90.00, 90.00 degrees
Sites, in units of the cell vectors:
1 Sc 0.000 0.000 0.000
2 Ta 0.500 0.500 0.500
3 Fe 0.000 0.500 0.000
4 Fe 0.500 0.000 0.000
5 Os 0.000 0.000 0.500

SG: P4/mmm, No. 123
Final energy in eV per atom: -7.826
E_form in eV per atom: 1.44